1.
Below is KPa3Au4O12 after structural relaxation, with properties calculated at the GGA-PBE level.

Values from the calculation:
theoretical density = 7.4 Mg/m³
space group = No. 155
energy relative to the elements, uncorrected = -1.84 eV per atom
raw total energy = -139.00 eV for the cell shown

```
KPa3Au4O12
1.0
-0.4269 6.8149 -3.6699
-6.9943 -3.3173 -0.4094
1.4623 1.4567 7.4721
Au K Pa O
4 1 3 12
Cartesian
-2.3031 0.5586 5.6858
-6.0074 0.7678 -1.1255
-2.9795 2.4771 1.6964
-0.6280 6.1049 0.5290
0.0000 0.0000 0.0000
0.6435 3.7790 2.6430
-3.3291 -1.2482 3.0066
-3.2733 2.4234 -2.2567
-3.4683 -0.9458 5.1250
0.4940 5.8598 2.1466
-5.3615 2.0163 -2.5254
0.2108 4.2781 4.6697
-3.2951 3.3723 -0.1651
-3.6922 4.4985 -2.5069
-4.0767 0.7843 2.2412
-1.1473 2.0897 6.1912
-1.7827 6.2997 -1.0723
-6.6111 -0.4570 0.3135
-5.4570 -1.3453 2.9264
-1.5667 3.2747 3.0132
```

***

2.
Below is K3PaAu2O6 after structural relaxation, with properties calculated at the GGA-PBE level.

Values from the calculation:
theoretical density = 5.4 Mg/m³
space group = No. 164
energy relative to the elements, uncorrected = -1.49 eV per atom
raw total energy = -66.92 eV for the cell shown

```
K3PaAu2O6
1.0
-6.0329 1.0917 2.1690
4.1634 -3.4815 3.5830
2.2218 5.9402 3.1901
O Au K Pa
6 2 3 1
Cartesian
3.3312 -0.9855 4.3496
1.0201 0.9471 2.3606
0.3700 3.9298 3.3885
-0.6678 2.6032 6.5815
-2.9789 4.5358 4.5926
-0.0177 -0.3794 5.5536
-1.0439 3.8189 4.9236
1.3962 -0.2686 4.0185
2.4063 2.4320 5.4688
0.0000 0.0000 0.0000
-2.0540 1.1184 3.4733
1.1109 2.9701 1.5950
```

***

3.
Below is KPaAu2O6 after structural relaxation, with properties calculated at the GGA-PBE level.

Values from the calculation:
theoretical density = 6.8 Mg/m³
space group = No. 148
energy relative to the elements, uncorrected = -1.24 eV per atom
raw total energy = -59.26 eV for the cell shown

```
KPaAu2O6
1.0
-0.5384 0.1893 6.0221
0.3339 -5.1046 3.2284
5.7310 -0.9450 3.5802
Au O Pa K
2 6 1 1
Cartesian
1.6188 -1.4367 3.2280
3.9077 -4.4236 9.6027
4.0785 -4.1602 7.6122
1.7681 -4.6973 5.6654
3.7584 -1.1631 7.1653
1.4480 -1.7002 5.2184
4.1842 -3.0211 4.7880
1.3423 -2.8393 8.0426
2.7632 -2.9302 6.4153
0.0000 0.0000 0.0000
```

***

4.
Below is K3Pa2Au2O5 after structural relaxation, with properties calculated at the GGA-PBE level.

Values from the calculation:
theoretical density = 6.9 Mg/m³
space group = No. 139
energy relative to the elements, uncorrected = -2.19 eV per atom
raw total energy = -79.94 eV for the cell shown

```
K3Pa2Au2O5
1.0
4.4142 0.0000 0.0000
0.0000 4.4142 0.0000
-2.2071 -2.2071 13.0300
K O Au Pa
3 5 2 2
Cartesian
2.2071 2.2071 8.7034
0.0000 0.0000 0.0000
0.0000 0.0000 4.3266
2.2071 0.0000 2.2119
2.2071 2.2071 0.0000
2.2071 0.0000 10.8181
0.0000 2.2071 10.8181
0.0000 2.2071 2.2119
2.2071 2.2071 5.2735
0.0000 0.0000 7.7565
2.2071 2.2071 2.1759
0.0000 0.0000 10.8540
```

***

5.
Below is KPaAu2O8 after structural relaxation, with properties calculated at the GGA-PBE level.

Values from the calculation:
theoretical density = 6.7 Mg/m³
space group = No. 119
energy relative to the elements, uncorrected = -0.77 eV per atom
raw total energy = -66.01 eV for the cell shown

```
KPaAu2O8
1.0
-0.6646 3.0164 5.5403
5.0314 -3.8627 -0.0182
0.8269 4.3527 -4.5394
K O Au Pa
1 8 2 1
Cartesian
4.0209 0.0334 -0.8983
3.9431 2.5641 -0.7261
2.1624 -0.1589 0.8191
0.7633 3.2139 3.8549
0.3963 5.1646 1.0647
0.3287 2.0954 0.6478
3.1682 0.5706 4.1338
3.2033 3.4179 1.9567
1.1138 4.0369 -2.2612
2.1834 -0.4232 2.7611
1.1729 3.4730 1.8810
0.0000 0.0000 0.0000
```

***

6.
Below is KPa2AuO8 after structural relaxation, with properties calculated at the GGA-PBE level.

Values from the calculation:
theoretical density = 7.0 Mg/m³
space group = No. 164
energy relative to the elements, uncorrected = -1.99 eV per atom
raw total energy = -86.87 eV for the cell shown

```
KPa2AuO8
1.0
-3.5611 0.1913 4.1527
-1.1018 -3.0466 -4.4122
3.4398 -5.9105 3.2221
O Pa K Au
8 2 1 1
Cartesian
-0.1379 -5.5115 5.3893
-1.4686 -3.0749 2.4900
-0.6407 -6.9015 3.3762
-0.5825 -1.8642 -0.4136
-2.7100 -3.1669 -0.5320
0.2454 -5.6908 0.4727
-1.0852 -3.2542 -2.4267
1.4868 -5.5988 3.4946
1.0933 -7.1476 1.2669
-2.3165 -1.6181 1.6958
1.7199 -2.9552 1.6110
0.0000 0.0000 0.0000
```

***

7.
Below is KPaAuO4 after structural relaxation, with properties calculated at the GGA-PBE level.

Values from the calculation:
theoretical density = 6.7 Mg/m³
space group = No. 74
energy relative to the elements, uncorrected = -2.07 eV per atom
raw total energy = -96.44 eV for the cell shown

```
KPaAuO4
1.0
6.7941 0.0000 0.0000
-3.3971 6.5508 -0.0779
0.0000 -3.6059 5.9300
K Pa O Au
2 2 8 2
Cartesian
0.0000 -1.1525 5.3912
3.3971 4.0974 0.4609
3.3971 -1.8029 2.9650
3.3971 0.0000 0.0000
0.0000 1.2747 4.3318
4.6911 -2.4542 4.5996
0.0000 2.6297 2.1036
3.3971 0.3153 3.7484
3.3971 1.6702 1.5202
1.2940 5.3991 1.2524
2.1030 -2.4542 4.5996
-1.2940 5.3991 1.2524
1.6985 1.4725 2.9260
-1.6985 1.4725 2.9260
```

***

8.
Below is K2PaAuO6 after structural relaxation, with properties calculated at the GGA-PBE level.

Values from the calculation:
theoretical density = 6.8 Mg/m³
space group = No. 148
energy relative to the elements, uncorrected = -1.78 eV per atom
raw total energy = -62.55 eV for the cell shown

```
K2PaAuO6
1.0
-3.7618 -4.2247 -1.7502
1.2618 -5.6951 1.0178
-3.1051 -3.0487 4.0158
O K Au Pa
6 2 1 1
Cartesian
-1.1040 -1.6128 1.1324
-3.9018 -8.0225 2.8339
-2.0708 -5.9498 3.6848
-2.9351 -3.6855 0.2815
-0.4771 -4.3926 1.6348
-4.5287 -5.2427 2.3315
-2.6542 -3.0997 3.1703
-2.3519 -6.5356 0.7964
-0.9504 -3.2933 -0.0247
-3.7529 -9.7776 1.6169
```